DFT (GGA+U) results for an optimized crystal structure of CoTe3F.

Results
The value obtained for the electronic total energy is -13.05 eV per cell. For the density, the calculation gives 6.517 Mg/m³.

Cell: 4.8964 4.8964 4.8964 Å, 90.00 90.00 90.00°
With the nearest neighbours (Å) after each atom.
Sites, in units of the cell vectors:
Co: 0.0000 0.0000 0.0000  12 Te 3.46
Te: 0.0000 0.5000 0.5000  2 F 2.45
Te: 0.5000 0.0000 0.5000  2 F 2.45
Te: 0.5000 0.5000 0.0000  2 F 2.45
F: 0.5000 0.5000 0.5000  6 Te 2.45